(1)
Compound: ZrIn2Se
Source: Alexandria
Functional: PBE
Structure: optimized geometry

Geometry as POSCAR:
```
ZrIn2Se
1.0
4.5963 0.0000 0.0000
0.0000 3.7207 0.0129
0.0000 3.6715 5.5343
Se In Zr
1 2 1
Direct
0.5000 0.2500 0.2500 Se
0.0000 0.0096 0.9997 In
0.0000 0.4904 0.5003 In
0.5000 0.7500 0.7500 Zr
```

Computed properties:
The total moment is 0.0 μB per cell. The calculation puts the formation energy without anion corrections at -201.5 meV/atom. Its symmetry is No. 10. As for the density: 7.03 g cm⁻³.

=====

(2)
Compound: Cs2RbBr2
Source: Alexandria
Functional: PBE
Structure: optimized geometry

Geometry as POSCAR:
```
Cs2RbBr2
1.0
-4.0240 -2.5975 1.5734
1.1118 -4.9671 -5.3569
6.0853 -0.4373 6.7650
Rb Br Cs
1 2 2
Direct
0.0000 0.0000 0.0000 Rb
0.3411 0.8411 0.6822 Br
0.6589 0.1589 0.3178 Br
0.3281 0.3281 0.6561 Cs
0.6719 0.6719 0.3439 Cs
```

Computed properties:
The total moment is 0.0 μB per cell. The calculation puts the formation energy without anion corrections at -1363.7 meV/atom. Its symmetry is No. 71. The calculation puts the energy relative to the lowest polymorph listed for this composition at 0.0000 eV per atom. As for the density: 2.87 g cm⁻³.

=====

(3)
Compound: Rb9Br3O2F
Source: Alexandria
Functional: PBE
Structure: optimized geometry

Geometry as POSCAR:
```
Rb9Br3O2F
1.0
7.9882 0.0000 0.0000
-3.9941 6.9179 0.0000
0.0000 0.0000 9.7880
Rb Br F O
9 3 1 2
Direct
0.8287 0.6573 0.6736 Rb
0.1713 0.3427 0.3264 Rb
0.6573 0.8287 0.3264 Rb
0.8287 0.1713 0.6736 Rb
0.0000 0.5000 0.0000 Rb
0.5000 0.0000 0.0000 Rb
0.5000 0.5000 0.0000 Rb
0.1713 0.8287 0.3264 Rb
0.3427 0.1713 0.6736 Rb
0.6667 0.3333 0.3457 Br
0.3333 0.6667 0.6543 Br
0.0000 0.0000 0.0000 Br
0.0000 0.0000 0.5000 F
0.6667 0.3333 0.8278 O
0.3333 0.6667 0.1722 O
```

Computed properties:
The total moment is 0.0 μB per cell. The calculation puts the formation energy without anion corrections at -1388.7 meV/atom. Its symmetry is No. 164. As for the density: 3.25 g cm⁻³.

=====

(4)
Compound: ZrNbOs
Source: Alexandria
Functional: PBE
Structure: optimized geometry

Geometry as POSCAR:
```
ZrNbOs
1.0
3.2389 0.0000 0.0000
0.0000 3.2389 0.0000
-1.6195 -1.6195 5.1649
Nb Os Zr
1 1 1
Direct
0.2949 0.2949 0.5899 Nb
0.9443 0.9443 0.8886 Os
0.6108 0.6108 0.2215 Zr
```

Computed properties:
The total moment is 0.0 μB per cell. The energy relative to the elements comes out at -282 meV per atom. Its symmetry is No. 107. The calculation puts the energy relative to the lowest polymorph listed for this composition at 0.0219 eV per atom. As for the density: 11.47 g cm⁻³.

=====

(5)
Compound: La2Nd5Dy5
Source: Alexandria
Functional: PBE
Structure: optimized geometry

Geometry as POSCAR:
```
La2Nd5Dy5
1.0
5.0051 0.0000 1.1292
2.6675 10.5799 -0.1666
0.8271 -1.3221 7.9909
Nd Dy La
5 5 2
Direct
0.0023 0.2466 0.7487 Nd
0.0000 0.0000 0.0000 Nd
0.6700 0.2463 0.4136 Nd
0.3300 0.7537 0.5864 Nd
0.9977 0.7534 0.2513 Nd
0.3345 0.2470 0.0839 Dy
0.6660 0.0013 0.6668 Dy
0.0000 0.5000 0.5000 Dy
0.3340 0.9987 0.3332 Dy
0.6655 0.7530 0.9161 Dy
0.3348 0.5004 0.8299 La
0.6652 0.4996 0.1701 La
```

Computed properties:
The total moment is 0.0 μB per cell. The energy relative to the elements comes out at 20 meV per atom. Its symmetry is No. 12. As for the density: 7.37 g cm⁻³.

=====

(6)
Compound: Tb6NdY12
Source: Alexandria
Functional: PBE
Structure: optimized geometry

Geometry as POSCAR:
```
Tb6NdY12
1.0
8.3371 0.0000 2.6727
-4.1511 7.7847 3.3890
0.0349 0.0000 9.4508
Y Tb Nd
12 6 1
Direct
0.8935 0.6306 0.9473 Y
0.8408 0.9473 0.4222 Y
0.1592 0.0527 0.5778 Y
0.1065 0.3694 0.0527 Y
0.6830 0.8936 0.8420 Y
0.2630 0.4222 0.6306 Y
0.7894 0.2644 0.8936 Y
0.5250 0.8420 0.2644 Y
0.2106 0.7356 0.1064 Y
0.3170 0.1064 0.1580 Y
0.7370 0.5778 0.3694 Y
0.4750 0.1580 0.7356 Y
0.5784 0.5266 0.7899 Tb
0.9482 0.3164 0.4734 Tb
0.4216 0.4734 0.2101 Tb
0.6318 0.2101 0.3164 Tb
0.0518 0.6836 0.5266 Tb
0.3682 0.7899 0.6836 Tb
0.0000 0.0000 0.0000 Nd
```

Computed properties:
The total moment is 0.0 μB per cell. The energy relative to the elements comes out at 20 meV per atom. Its symmetry is No. 148. The calculation puts the energy relative to the lowest polymorph listed for this composition at 0.0000 eV per atom. As for the density: 5.87 g cm⁻³.

=====

(7)
Compound: FeIr2Rh3
Source: Alexandria
Functional: PBE
Structure: optimized geometry

Geometry as POSCAR:
```
FeIr2Rh3
1.0
4.5627 0.0000 0.0000
0.0000 7.3201 0.0000
0.0000 0.0000 5.2969
Fe Rh Ir
2 6 4
Direct
0.0000 0.0000 0.5000 Fe
0.5000 0.5000 0.0000 Fe
0.5000 0.8475 0.6413 Rh
0.0000 0.6525 0.1413 Rh
0.5000 0.1525 0.3587 Rh
0.0000 0.3475 0.8587 Rh
0.0000 0.0000 0.0000 Rh
0.5000 0.5000 0.5000 Rh
0.0000 0.3387 0.3608 Ir
0.0000 0.6613 0.6392 Ir
0.5000 0.1613 0.8608 Ir
0.5000 0.8387 0.1392 Ir
```

Computed properties:
The total moment is 7.6 μB per cell. The energy relative to the elements comes out at 314 meV per atom. Its symmetry is No. 58. As for the density: 14.06 g cm⁻³.

=====

(8)
Compound: HfV2Se
Source: Alexandria
Functional: PBE
Structure: optimized geometry

Geometry as POSCAR:
```
HfV2Se
1.0
-1.4244 6.9367 -2.4681
-4.4384 -2.8148 -5.3494
-4.9345 2.2126 -2.3266
Se Hf V
2 2 4
Direct
0.5000 0.5000 0.0000 Se
0.2500 0.7500 0.5000 Se
0.7500 0.2500 0.5000 Hf
0.0000 0.0000 0.0000 Hf
0.8750 0.8057 0.7500 V
0.5557 0.1250 0.2500 V
0.1943 0.6250 0.2500 V
0.3750 0.4443 0.7500 V
```

Computed properties:
The total moment is 0.0 μB per cell. The calculation puts the formation energy without anion corrections at 188.6 meV/atom. Its symmetry is No. 122. As for the density: 8.30 g cm⁻³.

=====

(9)
Compound: Ti3FePd12
Source: Alexandria
Functional: PBE
Structure: optimized geometry

Geometry as POSCAR:
```
Ti3FePd12
1.0
3.9205 0.0000 0.0000
0.0000 3.9205 0.0000
0.0000 0.0000 15.6660
Pd Ti Fe
12 3 1
Direct
0.5000 0.5000 0.7495 Pd
0.5000 0.0000 0.8747 Pd
0.5000 0.0000 0.6246 Pd
0.5000 0.0000 0.3754 Pd
0.0000 0.5000 0.3754 Pd
0.5000 0.5000 0.5000 Pd
0.0000 0.5000 0.6246 Pd
0.0000 0.5000 0.1253 Pd
0.5000 0.5000 0.2505 Pd
0.0000 0.5000 0.8747 Pd
0.5000 0.5000 0.0000 Pd
0.5000 0.0000 0.1253 Pd
0.0000 0.0000 0.2457 Ti
0.0000 0.0000 0.7543 Ti
0.0000 0.0000 0.5000 Ti
0.0000 0.0000 0.0000 Fe
```

Computed properties:
The total moment is 4.7 μB per cell. The energy relative to the elements comes out at -512 meV per atom. Its symmetry is No. 123. As for the density: 10.18 g cm⁻³.

=====

(10)
Compound: Tl5Cd
Source: Alexandria
Functional: PBE
Structure: optimized geometry

Geometry as POSCAR:
```
Tl5Cd
1.0
-2.8744 1.2679 -4.9737
-0.3644 -5.3963 2.3140
-4.7597 1.6851 3.1803
Tl Cd
5 1
Direct
0.6632 0.3298 0.0000 Tl
0.0000 0.3333 0.5000 Tl
0.3333 0.6702 0.0000 Tl
0.6667 0.6667 0.5000 Tl
0.0035 0.0000 0.0000 Tl
0.3333 0.0000 0.5000 Cd
```

Computed properties:
The total moment is 0.0 μB per cell. The energy relative to the elements comes out at 37 meV per atom. Its symmetry is No. 189. The calculation puts the energy relative to the lowest polymorph listed for this composition at 0.0137 eV per atom. As for the density: 10.53 g cm⁻³.

=====

(11)
Compound: PrScPtRh
Source: Alexandria
Functional: PBE
Structure: optimized geometry

Geometry as POSCAR:
```
PrScPtRh
1.0
4.8797 0.0000 0.0000
2.4398 4.2259 0.0000
2.4398 1.4086 3.9842
Rh Pr Sc Pt
1 1 1 1
Direct
0.2500 0.2500 0.2500 Rh
0.5000 0.5000 0.5000 Pr
0.0000 0.0000 0.0000 Sc
0.7500 0.7500 0.7500 Pt
```

Computed properties:
The total moment is 0.0 μB per cell. The energy relative to the elements comes out at -857 meV per atom. Its symmetry is No. 216. As for the density: 9.78 g cm⁻³.

=====

(12)
Compound: Ba2MgCdNi
Source: Alexandria
Functional: PBE
Structure: optimized geometry

Geometry as POSCAR:
```
Ba2MgCdNi
1.0
5.9688 0.0000 0.0000
0.0000 5.9688 0.0000
0.0000 0.0000 5.0377
Mg Cd Ni Ba
1 1 1 2
Direct
0.0000 0.0000 0.5000 Mg
0.5000 0.5000 0.5000 Cd
0.0000 0.0000 0.0000 Ni
0.5000 0.0000 0.0000 Ba
0.0000 0.5000 0.0000 Ba
```

Computed properties:
The total moment is 0.0 μB per cell. The energy relative to the elements comes out at -64 meV per atom. Its symmetry is No. 123. The calculation puts the energy relative to the lowest polymorph listed for this composition at 0.0000 eV per atom. As for the density: 4.35 g cm⁻³.